First-principles (GGA-PBE) data for a relaxed Rb2Tl2Pd crystal, as listed in Alexandria.

Values from the calculation:
* relative energy among the computed polymorphs: 18 meV per atom
* SG: R-3m (166)
* calculated formation energy: -1.89 kcal/mol of atoms
* DOS at the Fermi energy: 10.7 states/eV/cell

Unit cell a=4.8876 b=4.8876 c=32.2764 alpha=90.00 beta=90.00 gamma=120.00
With the nearest neighbours (Å) after each atom.
Sites, in units of the cell vectors:
Rb (0.0000, 0.0000, 0.0700)  4 Tl 3.69-3.86
Rb (0.0000, 0.0000, 0.9300)  4 Tl 3.69-3.86
Rb (0.3333, 0.6667, 0.5967)  4 Tl 3.69-3.86
Rb (0.3333, 0.6667, 0.7367)  4 Tl 3.69-3.86
Rb (0.6667, 0.3333, 0.2633)  4 Tl 3.69-3.86
Rb (0.6667, 0.3333, 0.4033)  4 Tl 3.69-3.86
Tl (0.0000, 0.0000, 0.1895)  3 Pd 2.92, 3 Tl 3.18
Tl (0.0000, 0.0000, 0.8105)  3 Pd 2.92, 3 Tl 3.18
Tl (0.3333, 0.6667, 0.4772)  3 Pd 2.92, 3 Tl 3.18
Tl (0.3333, 0.6667, 0.8561)  3 Pd 2.92, 3 Tl 3.18
Tl (0.6667, 0.3333, 0.1439)  3 Pd 2.92, 3 Tl 3.18
Tl (0.6667, 0.3333, 0.5228)  3 Pd 2.92, 3 Tl 3.18
Pd (0.0000, 0.0000, 0.5000)  6 Tl 2.92
Pd (0.3333, 0.6667, 0.1667)  6 Tl 2.92
Pd (0.6667, 0.3333, 0.8333)  6 Tl 2.92

---

First-principles (GGA-PBE) data for a relaxed LiCuGe2 crystal, as listed in Alexandria.

Values from the calculation:
* relative energy among the computed polymorphs: 8 meV per atom
* SG: Cmmm (65)
* calculated formation energy: -1.36 kcal/mol of atoms
* DOS at the Fermi energy: 2.9 states/eV/cell

Unit cell a=5.5325 b=8.3337 c=2.7671 alpha=90.00 beta=90.00 gamma=90.00
With the nearest neighbours (Å) after each atom.
Sites, in units of the cell vectors:
Li (0.0000, 0.0000, 0.0000)  2 Li 2.77, 8 Ge 2.86, 4 Cu 3.09
Li (0.5000, 0.5000, 0.0000)  2 Li 2.77, 8 Ge 2.86, 4 Cu 3.09
Cu (0.0000, 0.5000, 0.5000)  4 Ge 2.50, 2 Cu 2.77
Cu (0.5000, 0.0000, 0.5000)  4 Ge 2.50, 2 Cu 2.77
Ge (0.2500, 0.2500, 0.5000)  2 Cu 2.50, 4 Ge 2.77
Ge (0.2500, 0.7500, 0.5000)  2 Cu 2.50, 4 Ge 2.77
Ge (0.7500, 0.2500, 0.5000)  2 Cu 2.50, 4 Ge 2.77
Ge (0.7500, 0.7500, 0.5000)  2 Cu 2.50, 4 Ge 2.77

---

First-principles (GGA-PBE) data for a relaxed LaThInHg crystal, as listed in Alexandria.

Values from the calculation:
* relative energy among the computed polymorphs: 0 meV per atom
* SG: P4mm (99)
* calculated formation energy: -8.62 kcal/mol of atoms
* DOS at the Fermi energy: 4.5 states/eV/cell

Unit cell a=3.5622 b=3.5622 c=9.0790 alpha=90.00 beta=90.00 gamma=90.00
With the nearest neighbours (Å) after each atom.
Sites, in units of the cell vectors:
La (0.0000, 0.0000, 0.0000)  4 Hg 3.39, 4 In 3.43, 4 La 3.56
Th (0.0000, 0.0000, 0.5064)  4 Hg 3.35, 4 In 3.40, 4 Th 3.56
In (0.5000, 0.5000, 0.2556)  4 Th 3.40, 4 La 3.43, 4 In 3.56
Hg (0.5000, 0.5000, 0.7501)  4 Th 3.35, 4 La 3.39, 4 Hg 3.56